The following is a DFT calculation (PBE-GGA) of a relaxed CuCl5 crystal.

Properties
ρ (g/cm3): 2.2
Relative energy among the computed polymorphs (eV/atom): 0.041
Space-group type: Cm
Formation energy without anion corrections (meV/atom): -127

Cell: 6.482 6.482 10.552 Å, 122.87 122.87 29.86°
Fractional positions:
Cu 0.000 0.000 0.000
Cl 0.030 0.030 0.803
Cl 0.348 0.348 0.915
Cl 0.537 0.537 0.547
Cl 0.580 0.580 0.390
Cl 0.644 0.644 0.158